Compound: ScBiS2
Source: Alexandria via LeMat-Bulk
Functional: PBE
Structure: optimized geometry

a = 7.660 Å, b = 4.027 Å, c = 12.945 Å
α = 90.00°, β = 90.00°, γ = 90.00°
Fractional positions:
Sc 0.071 0.250 0.117
Sc 0.429 0.750 0.617
Sc 0.571 0.250 0.383
Sc 0.929 0.750 0.883
Bi 0.248 0.750 0.335
Bi 0.252 0.250 0.835
Bi 0.748 0.750 0.165
Bi 0.752 0.250 0.665
S 0.130 0.750 0.715
S 0.194 0.750 0.011
S 0.306 0.250 0.511
S 0.370 0.250 0.215
S 0.630 0.750 0.785
S 0.694 0.750 0.489
S 0.806 0.250 0.989
S 0.870 0.250 0.285

Values from the calculation:
* Fermi-level density of states: 0.00 states/eV per atom
* DFT total energy: -22.45 eV/f.u.
* space-group type: Pnma
* calculated volume: 24.960 Å³/atom